An optimized crystal structure of CuSnP2O, computed with PBE.

a b c (Å): 4.7412 4.7412 3.6454
angles (deg): 90.00 90.00 90.00
Closest atoms and distances in Å follow each position.
Sites, in units of the cell vectors:
1 Cu 0.0000 0.0000 0.0000  2 O 1.82
2 P 0.0000 0.5000 0.0000  2 Cu 2.37
3 P 0.5000 0.0000 0.0000  2 Cu 2.37
4 Sn 0.5000 0.5000 0.5000  8 P 2.99
5 O 0.0000 0.0000 0.5000  2 Cu 1.82

Results
The space-group type is P4/mmm. The calculation puts the energy relative to the lowest polymorph listed for this composition at 0.0 meV per atom.



An optimized crystal structure of Dy2HoScTl2, computed with PBE.

a b c (Å): 4.9490 6.8462 9.7584
angles (deg): 90.00 90.00 90.00
Closest atoms and distances in Å follow each position.
Sites, in units of the cell vectors:
1 Ho 0.0000 0.4558 0.5465  5 Tl 3.17-3.35, 2 Sc 3.47, 2 Ho 3.54
2 Ho 0.0000 0.9558 0.4535  5 Tl 3.17-3.35, 2 Sc 3.47, 2 Ho 3.54
3 Dy 0.5000 0.5557 0.9526  5 Tl 3.17-3.48, 4 Dy 3.45-3.55, 1 Sc 3.54
4 Dy 0.0000 0.8426 0.8102  4 Tl 3.15-3.22, 2 Dy 3.45, 2 Sc 3.52
5 Dy 0.5000 0.0557 0.0474  5 Tl 3.17-3.48, 4 Dy 3.45-3.55, 1 Sc 3.54
6 Dy 0.0000 0.3426 0.1898  4 Tl 3.15-3.22, 2 Dy 3.45, 2 Sc 3.52
7 Sc 0.5000 0.6683 0.3064  4 Tl 3.08-3.11
8 Sc 0.5000 0.1683 0.6936  4 Tl 3.08-3.11
9 Tl 0.5000 0.2266 0.3807  2 Sc 3.08-3.11, 4 Ho 3.17-3.35, 2 Dy 3.20
10 Tl 0.0000 0.7966 0.1388  2 Sc 3.09, 4 Dy 3.15-3.22, 1 Ho 3.26
11 Tl 0.0000 0.2966 0.8612  2 Sc 3.09, 4 Dy 3.15-3.22, 1 Ho 3.26
12 Tl 0.5000 0.7266 0.6193  2 Sc 3.08-3.11, 4 Ho 3.17-3.35, 2 Dy 3.20

Results
The space-group type is Pmc2_1. The calculation puts the calculated formation energy at -1.56 eV/f.u.



An optimized crystal structure of Rb4Si2H, computed with PBE.

a b c (Å): 5.5596 5.5596 10.2645
angles (deg): 74.29 74.29 90.00
Closest atoms and distances in Å follow each position.
Sites, in units of the cell vectors:
1 Rb 0.1739 0.1739 0.6522  1 H 3.30, 1 Si 3.63
2 Rb 0.0000 0.5000 0.0000  2 H 2.78
3 Rb 0.5000 0.0000 0.0000  2 H 2.78
4 Rb 0.8261 0.8261 0.3478  1 H 3.30, 1 Si 3.63
5 Si 0.3653 0.3653 0.2693  9 Rb 3.63-4.00
6 Si 0.6347 0.6347 0.7307  9 Rb 3.63-4.00
7 H 0.0000 0.0000 0.0000  4 Rb 2.78

Results
The space-group type is I4/mmm.



Number 1: E_tot -4.443 eV per atom. Number 2: E_tot -4.400 eV per atom. Number 3: E_tot -2.126 eV per atom.